(1)
The following is a PBEsol calculation of RbNbIr3 after structural relaxation, from Alexandria.

CIF file:
```
data_RbNbIr3
_cell_length_a 4.848
_cell_length_b 4.848
_cell_length_c 4.848
_cell_angle_alpha 90.00
_cell_angle_beta 90.00
_cell_angle_gamma 90.00
_space_group_name_H-M_alt 'P m -3 m'
_space_group_IT_number 221
_space_group_name_Hall '-P 4 2 3'
loop_
_atom_site_label
_atom_site_type_symbol
_atom_site_fract_x
_atom_site_fract_y
_atom_site_fract_z
_atom_site_occupancy
Rb1 Rb 0.000 0.000 0.000 1
Nb1 Nb 0.500 0.500 0.500 1
Ir1 Ir 0.000 0.500 0.500 1
```

Values from the calculation:
V: 22.79 Å³ per atom
energy: -34.208 eV for the cell shown



(2)
The following is a PBEsol calculation of RbNbTcIr2 after structural relaxation, from Alexandria.

CIF file:
```
data_RbNbTcIr2
_cell_length_a 4.878
_cell_length_b 4.878
_cell_length_c 4.826
_cell_angle_alpha 90.00
_cell_angle_beta 90.00
_cell_angle_gamma 90.00
_space_group_name_H-M_alt 'P 4/m m m'
_space_group_IT_number 123
_space_group_name_Hall '-P 4 2'
loop_
_atom_site_label
_atom_site_type_symbol
_atom_site_fract_x
_atom_site_fract_y
_atom_site_fract_z
_atom_site_occupancy
Rb1 Rb 0.000 0.000 0.000 1
Nb1 Nb 0.500 0.500 0.500 1
Tc1 Tc 0.500 0.500 0.000 1
Ir1 Ir 0.000 0.500 0.500 1
```

Values from the calculation:
V: 22.96 Å³ per atom
energy: -34.889 eV for the cell shown



(3)
The following is a PBEsol calculation of NbReIr2Se after structural relaxation, from Alexandria.

CIF file:
```
data_NbReIr2Se
_cell_length_a 4.711
_cell_length_b 4.711
_cell_length_c 4.736
_cell_angle_alpha 90.00
_cell_angle_beta 90.00
_cell_angle_gamma 90.00
_space_group_name_H-M_alt 'P 4/m m m'
_space_group_IT_number 123
_space_group_name_Hall '-P 4 2'
loop_
_atom_site_label
_atom_site_type_symbol
_atom_site_fract_x
_atom_site_fract_y
_atom_site_fract_z
_atom_site_occupancy
Nb1 Nb 0.000 0.000 0.000 1
Re1 Re 0.500 0.500 0.500 1
Ir1 Ir 0.000 0.500 0.000 1
Se1 Se 0.000 0.000 0.500 1
```

Values from the calculation:
V: 21.02 Å³ per atom
energy: -37.532 eV for the cell shown



(4)
The following is a PBEsol calculation of NbIr3Rh after structural relaxation, from Alexandria.

CIF file:
```
data_NbIr3Rh
_cell_length_a 4.578
_cell_length_b 4.578
_cell_length_c 4.578
_cell_angle_alpha 90.00
_cell_angle_beta 90.00
_cell_angle_gamma 90.00
_space_group_name_H-M_alt 'P m -3 m'
_space_group_IT_number 221
_space_group_name_Hall '-P 4 2 3'
loop_
_atom_site_label
_atom_site_type_symbol
_atom_site_fract_x
_atom_site_fract_y
_atom_site_fract_z
_atom_site_occupancy
Nb1 Nb 0.000 0.000 0.000 1
Ir1 Ir 0.000 0.500 0.500 1
Rh1 Rh 0.500 0.500 0.500 1
```

Values from the calculation:
V: 19.19 Å³ per atom
energy: -38.630 eV for the cell shown



- The highest energy belongs to which entry?
  RbNbIr3